# K3InSb | Alexandria | GGA-PBEsol | relaxed
# DOS(E_F): 3.8 states/eV/f.u.
# Final energy: -1.79 eV per atom
data_K3InSb
_symmetry_space_group_name_H-M 'P m -3 m'
_symmetry_Int_Tables_number 221
_symmetry_space_group_name_Hall '-P 4 2 3'
_cell_length_a 6.285
_cell_length_b 6.285
_cell_length_c 6.285
_cell_angle_alpha 90.00
_cell_angle_beta 90.00
_cell_angle_gamma 90.00
loop_
_atom_site_label
_atom_site_type_symbol
_atom_site_fract_x
_atom_site_fract_y
_atom_site_fract_z
K1 K 0.000 0.000 0.500
In1 In 0.000 0.000 0.000
Sb1 Sb 0.500 0.500 0.500


# CdAgRu2 | Alexandria | GGA-PBEsol | relaxed
# DOS(E_F): 5.4 states/eV/f.u.
# Formation enthalpy at 0 K: 493 meV/atom
data_CdAgRu2
_symmetry_space_group_name_H-M 'C 1 2/m 1'
_symmetry_Int_Tables_number 12
_cell_length_a 9.488
_cell_length_b 2.750
_cell_length_c 4.751
_cell_angle_alpha 90.00
_cell_angle_beta 99.82
_cell_angle_gamma 90.00
loop_
_symmetry_equiv_pos_as_xyz
'x,y,z'
'-x,-y,-z'
'-x,y,-z'
'x,-y,z'
'x+1/2,y+1/2,z'
'-x+1/2,-y+1/2,-z'
'-x+1/2,y+1/2,-z'
'x+1/2,-y+1/2,z'
loop_
_atom_site_label
_atom_site_type_symbol
_atom_site_fract_x
_atom_site_fract_y
_atom_site_fract_z
Cd1 Cd 0.000 0.000 0.000
Ag1 Ag 0.000 0.500 0.500
Ru1 Ru 0.249 0.000 0.740


# RbP11 | Alexandria | GGA-PBEsol | relaxed
# DOS(E_F): 0.2 states/eV/f.u.
# Formation enthalpy at 0 K: -97 meV/atom
data_RbP11
_symmetry_space_group_name_H-M 'P 1 21/m 1'
_symmetry_Int_Tables_number 11
_cell_length_a 6.512
_cell_length_b 9.682
_cell_length_c 17.591
_cell_angle_alpha 90.00
_cell_angle_beta 94.10
_cell_angle_gamma 90.00
loop_
_symmetry_equiv_pos_as_xyz
'x,y,z'
'-x,-y,-z'
'-x,y+1/2,-z'
'x,-y+1/2,z'
loop_
_atom_site_label
_atom_site_type_symbol
_atom_site_fract_x
_atom_site_fract_y
_atom_site_fract_z
Rb1 Rb 0.074 0.032 0.168
P1 P 0.124 0.750 0.598
P2 P 0.144 0.096 0.580
P3 P 0.200 0.750 0.720
P4 P 0.216 0.131 0.704
P5 P 0.247 0.750 0.958
P6 P 0.257 0.750 0.081
P7 P 0.299 0.088 0.976
P8 P 0.321 0.588 0.552
P9 P 0.353 0.250 0.535
P10 P 0.364 0.750 0.380
P11 P 0.399 0.086 0.366
P12 P 0.412 0.250 0.901
P13 P 0.446 0.596 0.296
P14 P 0.460 0.587 0.924
P15 P 0.470 0.250 0.284


# MgFeTc2 | Alexandria | GGA-PBEsol | relaxed
# DOS(E_F): 4.2 states/eV/f.u.
# Formation enthalpy at 0 K: 302 meV/atom
data_MgFeTc2
_symmetry_space_group_name_H-M 'P m m 2'
_symmetry_Int_Tables_number 25
_cell_length_a 2.712
_cell_length_b 3.836
_cell_length_c 5.440
_cell_angle_alpha 90.00
_cell_angle_beta 90.00
_cell_angle_gamma 90.00
loop_
_symmetry_equiv_pos_as_xyz
'x,y,z'
'-x,-y,z'
'-x,y,z'
'x,-y,z'
loop_
_atom_site_label
_atom_site_type_symbol
_atom_site_fract_x
_atom_site_fract_y
_atom_site_fract_z
Mg1 Mg 0.000 0.000 0.000
Fe1 Fe 0.500 0.500 0.753
Tc1 Tc 0.000 0.000 0.505
Tc2 Tc 0.500 0.500 0.290


# Li6La3Sb2O12 | Alexandria | GGA-PBEsol | relaxed
# DOS(E_F): 5.5 states/eV/f.u.
# Final energy: -6.67 eV per atom
data_Li6La3Sb2O12
_symmetry_space_group_name_H-M 'I a -3'
_symmetry_Int_Tables_number 206
_symmetry_space_group_name_Hall '-I 2b 2c 3'
_cell_length_a 12.891
_cell_length_b 12.891
_cell_length_c 12.891
_cell_angle_alpha 90.00
_cell_angle_beta 90.00
_cell_angle_gamma 90.00
loop_
_atom_site_label
_atom_site_type_symbol
_atom_site_fract_x
_atom_site_fract_y
_atom_site_fract_z
Li1 Li 0.060 0.161 0.830
La1 La 0.000 0.250 0.116
Sb1 Sb 0.000 0.000 0.000
Sb2 Sb 0.250 0.250 0.250
O1 O 0.028 0.062 0.649
O2 O 0.104 0.200 0.283


# KGaCuF6 | Alexandria | GGA-PBEsol | relaxed
# DOS(E_F): 0.3 states/eV/f.u.
# Final energy: -4.61 eV per atom
data_KGaCuF6
_symmetry_space_group_name_H-M 'P 1 21/c 1'
_symmetry_Int_Tables_number 14
_cell_length_a 7.307
_cell_length_b 9.887
_cell_length_c 6.682
_cell_angle_alpha 90.00
_cell_angle_beta 94.24
_cell_angle_gamma 90.00
loop_
_symmetry_equiv_pos_as_xyz
'x,y,z'
'-x,-y,-z'
'-x,y+1/2,-z+1/2'
'x,-y+1/2,z+1/2'
loop_
_atom_site_label
_atom_site_type_symbol
_atom_site_fract_x
_atom_site_fract_y
_atom_site_fract_z
K1 K 0.239 0.115 0.002
Ga1 Ga 0.000 0.000 0.500
Ga2 Ga 0.500 0.000 0.500
Cu1 Cu 0.258 0.732 0.321
F1 F 0.031 0.163 0.636
F2 F 0.076 0.592 0.244
F3 F 0.244 0.665 0.583
F4 F 0.245 0.019 0.410
F5 F 0.445 0.553 0.256
F6 F 0.492 0.685 0.910


# YCo2Re | Alexandria | GGA-PBEsol | relaxed
# Energy relative to the lowest polymorph listed for this composition: 0.19 eV per formula unit
# DOS(E_F): 4.9 states/eV/f.u.
# Formation enthalpy at 0 K: 302 meV/atom
data_YCo2Re
_symmetry_space_group_name_H-M 'I m m 2'
_symmetry_Int_Tables_number 44
_cell_length_a 2.736
_cell_length_b 4.393
_cell_length_c 9.583
_cell_angle_alpha 90.00
_cell_angle_beta 90.00
_cell_angle_gamma 90.00
loop_
_symmetry_equiv_pos_as_xyz
'x,y,z'
'-x,-y,z'
'-x,y,z'
'x,-y,z'
'x+1/2,y+1/2,z+1/2'
'-x+1/2,-y+1/2,z+1/2'
'-x+1/2,y+1/2,z+1/2'
'x+1/2,-y+1/2,z+1/2'
loop_
_atom_site_label
_atom_site_type_symbol
_atom_site_fract_x
_atom_site_fract_y
_atom_site_fract_z
Y1 Y 0.000 0.000 0.000
Co1 Co 0.000 0.000 0.495
Co2 Co 0.000 0.500 0.776
Re1 Re 0.000 0.500 0.215


# CuTcMo2 | Alexandria | GGA-PBEsol | relaxed
# Energy relative to the lowest polymorph listed for this composition: 0.00 eV per formula unit
# DOS(E_F): 2.6 states/eV/f.u.
# Formation enthalpy at 0 K: 214 meV/atom
data_CuTcMo2
_symmetry_space_group_name_H-M 'C m m m'
_symmetry_Int_Tables_number 65
_symmetry_space_group_name_Hall '-C 2 2'
_cell_length_a 3.141
_cell_length_b 4.233
_cell_length_c 8.516
_cell_angle_alpha 90.00
_cell_angle_beta 90.00
_cell_angle_gamma 90.00
loop_
_atom_site_label
_atom_site_type_symbol
_atom_site_fract_x
_atom_site_fract_y
_atom_site_fract_z
Cu1 Cu 0.000 0.000 0.000
Tc1 Tc 0.000 0.000 0.500
Mo1 Mo 0.000 0.500 0.247


# Rb2AgBrO | Alexandria | GGA-PBEsol | relaxed
# Final energy: -3.57 eV per atom
data_Rb2AgBrO
_symmetry_space_group_name_H-M 'P 4/m m m'
_symmetry_Int_Tables_number 123
_symmetry_space_group_name_Hall '-P 4 2'
_cell_length_a 5.764
_cell_length_b 5.764
_cell_length_c 4.037
_cell_angle_alpha 90.00
_cell_angle_beta 90.00
_cell_angle_gamma 90.00
loop_
_atom_site_label
_atom_site_type_symbol
_atom_site_fract_x
_atom_site_fract_y
_atom_site_fract_z
Rb1 Rb 0.000 0.500 0.000
Ag1 Ag 0.000 0.000 0.500
Br1 Br 0.500 0.500 0.500
O1 O 0.000 0.000 0.000


# ZnB2I | Alexandria | GGA-PBEsol | relaxed
# Energy relative to the lowest polymorph listed for this composition: 0.00 eV per formula unit
# DOS(E_F): 1.7 states/eV/f.u.
data_ZnB2I
_symmetry_space_group_name_H-M 'I -4 2 d'
_symmetry_Int_Tables_number 122
_symmetry_space_group_name_Hall 'I -4 2bw'
_cell_length_a 5.134
_cell_length_b 5.134
_cell_length_c 10.213
_cell_angle_alpha 90.00
_cell_angle_beta 90.00
_cell_angle_gamma 90.00
loop_
_atom_site_label
_atom_site_type_symbol
_atom_site_fract_x
_atom_site_fract_y
_atom_site_fract_z
Zn1 Zn 0.000 0.000 0.000
B1 B 0.204 0.250 0.125
I1 I 0.000 0.000 0.500


# BeZnPd2N | Alexandria | GGA-PBEsol | relaxed
# DOS(E_F): 1.0 states/eV/f.u.
# Final energy: -4.93 eV per atom
data_BeZnPd2N
_symmetry_space_group_name_H-M 'P 4/m m m'
_symmetry_Int_Tables_number 123
_symmetry_space_group_name_Hall '-P 4 2'
_cell_length_a 4.141
_cell_length_b 4.141
_cell_length_c 3.721
_cell_angle_alpha 90.00
_cell_angle_beta 90.00
_cell_angle_gamma 90.00
loop_
_atom_site_label
_atom_site_type_symbol
_atom_site_fract_x
_atom_site_fract_y
_atom_site_fract_z
Be1 Be 0.000 0.000 0.000
Zn1 Zn 0.500 0.500 0.000
Pd1 Pd 0.000 0.500 0.500
N1 N 0.500 0.500 0.500


# Mo3Pt | Alexandria | GGA-PBEsol | relaxed
# Energy relative to the lowest polymorph listed for this composition: 0.15 eV per formula unit
# DOS(E_F): 3.2 states/eV/f.u.
# Formation enthalpy at 0 K: -89 meV/atom
data_Mo3Pt
_symmetry_space_group_name_H-M 'I 4/m m m'
_symmetry_Int_Tables_number 139
_symmetry_space_group_name_Hall '-I 4 2'
_cell_length_a 3.910
_cell_length_b 3.910
_cell_length_c 15.796
_cell_angle_alpha 90.00
_cell_angle_beta 90.00
_cell_angle_gamma 90.00
loop_
_atom_site_label
_atom_site_type_symbol
_atom_site_fract_x
_atom_site_fract_y
_atom_site_fract_z
Mo1 Mo 0.000 0.000 0.120
Mo2 Mo 0.000 0.500 0.000
Mo3 Mo 0.000 0.500 0.250
Pt1 Pt 0.000 0.000 0.374


# Na2Cd2Hg | Alexandria | GGA-PBEsol | relaxed
# Energy relative to the lowest polymorph listed for this composition: 0.26 eV per formula unit
# DOS(E_F): 2.1 states/eV/f.u.
# Formation enthalpy at 0 K: -27 meV/atom
data_Na2Cd2Hg
_symmetry_space_group_name_H-M 'I 4/m m m'
_symmetry_Int_Tables_number 139
_symmetry_space_group_name_Hall '-I 4 2'
_cell_length_a 3.973
_cell_length_b 3.973
_cell_length_c 16.938
_cell_angle_alpha 90.00
_cell_angle_beta 90.00
_cell_angle_gamma 90.00
loop_
_atom_site_label
_atom_site_type_symbol
_atom_site_fract_x
_atom_site_fract_y
_atom_site_fract_z
Na1 Na 0.000 0.000 0.097
Cd1 Cd 0.000 0.500 0.250
Hg1 Hg 0.000 0.000 0.500


# BeSiRu2 | Alexandria | GGA-PBEsol | relaxed
# Energy relative to the lowest polymorph listed for this composition: 1.63 eV per formula unit
# DOS(E_F): 2.3 states/eV/f.u.
data_BeSiRu2
_symmetry_space_group_name_H-M 'C 1 2/m 1'
_symmetry_Int_Tables_number 12
_cell_length_a 5.385
_cell_length_b 7.468
_cell_length_c 2.698
_cell_angle_alpha 90.00
_cell_angle_beta 116.13
_cell_angle_gamma 90.00
loop_
_symmetry_equiv_pos_as_xyz
'x,y,z'
'-x,-y,-z'
'-x,y,-z'
'x,-y,z'
'x+1/2,y+1/2,z'
'-x+1/2,-y+1/2,-z'
'-x+1/2,y+1/2,-z'
'x+1/2,-y+1/2,z'
loop_
_atom_site_label
_atom_site_type_symbol
_atom_site_fract_x
_atom_site_fract_y
_atom_site_fract_z
Be1 Be 0.000 0.000 0.000
Si1 Si 0.000 0.500 0.000
Ru1 Ru 0.250 0.250 0.500


# LaCoCl2 | Alexandria | GGA-PBEsol | relaxed
# Energy relative to the lowest polymorph listed for this composition: 1.07 eV per formula unit
# DOS(E_F): 0.1 states/eV/f.u.
data_LaCoCl2
_symmetry_space_group_name_H-M 'P 4 m m'
_symmetry_Int_Tables_number 99
_cell_length_a 3.857
_cell_length_b 3.857
_cell_length_c 5.830
_cell_angle_alpha 90.00
_cell_angle_beta 90.00
_cell_angle_gamma 90.00
loop_
_symmetry_equiv_pos_as_xyz
'x,y,z'
'-y,x,z'
'-x,-y,z'
'y,-x,z'
'-x,y,z'
'y,x,z'
'x,-y,z'
'-y,-x,z'
loop_
_atom_site_label
_atom_site_type_symbol
_atom_site_fract_x
_atom_site_fract_y
_atom_site_fract_z
La1 La 0.000 0.000 0.000
Co1 Co 0.500 0.500 0.803
Cl1 Cl 0.000 0.000 0.528
Cl2 Cl 0.500 0.500 0.166


# BaHN | Alexandria | GGA-PBEsol | relaxed
# Final energy: -5.31 eV per atom
data_BaHN
_symmetry_space_group_name_H-M 'C m c m'
_symmetry_Int_Tables_number 63
_symmetry_space_group_name_Hall '-C 2c 2'
_cell_length_a 5.561
_cell_length_b 6.562
_cell_length_c 5.900
_cell_angle_alpha 90.00
_cell_angle_beta 90.00
_cell_angle_gamma 90.00
loop_
_atom_site_label
_atom_site_type_symbol
_atom_site_fract_x
_atom_site_fract_y
_atom_site_fract_z
Ba1 Ba 0.000 0.196 0.250
H1 H 0.000 0.350 0.750
N1 N 0.000 0.190 0.750


# SrAgSN2 | Alexandria | GGA-PBEsol | relaxed
# DOS(E_F): 1.7 states/eV/f.u.
# Final energy: -4.65 eV per atom
data_SrAgSN2
_symmetry_space_group_name_H-M 'P 4/m m m'
_symmetry_Int_Tables_number 123
_symmetry_space_group_name_Hall '-P 4 2'
_cell_length_a 4.177
_cell_length_b 4.177
_cell_length_c 4.942
_cell_angle_alpha 90.00
_cell_angle_beta 90.00
_cell_angle_gamma 90.00
loop_
_atom_site_label
_atom_site_type_symbol
_atom_site_fract_x
_atom_site_fract_y
_atom_site_fract_z
Sr1 Sr 0.000 0.000 0.000
Ag1 Ag 0.500 0.500 0.500
S1 S 0.500 0.500 0.000
N1 N 0.000 0.500 0.500


# ZnCuNi2 | Alexandria | GGA-PBEsol | relaxed
# DOS(E_F): 3.0 states/eV/f.u.
# Formation enthalpy at 0 K: -73 meV/atom
data_ZnCuNi2
_symmetry_space_group_name_H-M 'F -4 3 m'
_symmetry_Int_Tables_number 216
_symmetry_space_group_name_Hall 'F -4 2 3'
_cell_length_a 5.628
_cell_length_b 5.628
_cell_length_c 5.628
_cell_angle_alpha 90.00
_cell_angle_beta 90.00
_cell_angle_gamma 90.00
loop_
_atom_site_label
_atom_site_type_symbol
_atom_site_fract_x
_atom_site_fract_y
_atom_site_fract_z
Zn1 Zn 0.000 0.000 0.000
Cu1 Cu 0.250 0.250 0.750
Ni1 Ni 0.000 0.000 0.500
Ni2 Ni 0.250 0.250 0.250


# CrFe2Ru | Alexandria | GGA-PBEsol | relaxed
# DOS(E_F): 5.2 states/eV/f.u.
# Formation enthalpy at 0 K: 130 meV/atom
data_CrFe2Ru
_symmetry_space_group_name_H-M 'C 1 m 1'
_symmetry_Int_Tables_number 8
_cell_length_a 8.248
_cell_length_b 2.529
_cell_length_c 4.356
_cell_angle_alpha 90.00
_cell_angle_beta 100.19
_cell_angle_gamma 90.00
loop_
_symmetry_equiv_pos_as_xyz
'x,y,z'
'x,-y,z'
'x+1/2,y+1/2,z'
'x+1/2,-y+1/2,z'
loop_
_atom_site_label
_atom_site_type_symbol
_atom_site_fract_x
_atom_site_fract_y
_atom_site_fract_z
Cr1 Cr 0.000 0.000 0.000
Fe1 Fe 0.008 0.500 0.533
Fe2 Fe 0.256 0.000 0.770
Ru1 Ru 0.258 0.500 0.279


# BaMn2In | Alexandria | GGA-PBEsol | relaxed
# DOS(E_F): 3.7 states/eV/f.u.
# Formation enthalpy at 0 K: 722 meV/atom
data_BaMn2In
_symmetry_space_group_name_H-M 'I -4 m 2'
_symmetry_Int_Tables_number 119
_symmetry_space_group_name_Hall 'I -4 -2'
_cell_length_a 5.152
_cell_length_b 5.152
_cell_length_c 7.461
_cell_angle_alpha 90.00
_cell_angle_beta 90.00
_cell_angle_gamma 90.00
loop_
_atom_site_label
_atom_site_type_symbol
_atom_site_fract_x
_atom_site_fract_y
_atom_site_fract_z
Ba1 Ba 0.000 0.000 0.000
Mn1 Mn 0.000 0.000 0.500
Mn2 Mn 0.000 0.500 0.250
In1 In 0.000 0.500 0.750


no.,total magnetic moment (μB/atom)
1,0.00
2,0.01
3,0.00
4,0.58
5,0.00
6,0.11
7,0.00
8,0.00
9,0.00
10,0.00
11,0.00
12,0.00
13,0.00
14,0.00
15,0.01
16,0.00
17,0.55
18,0.00
19,0.19
20,2.12